i | # ScBeRe

Crystalline ScBeRe at its relaxed geometry (PBE, the Alexandria database).

Summary:
symmetry	Cm (8)

```
ScBeRe
1.0
9.4552 0.0000 0.0000
0.0000 3.1713 0.0000
-1.0550 0.0000 2.9906
Sc Be Re
2 2 2
Direct
0.0000 0.0000 0.0000
0.5000 0.5000 0.0000
0.2081 0.5000 0.7077
0.7081 0.0000 0.7077
0.3007 0.0000 0.3003
0.8007 0.5000 0.3003
```

---

ii | # ScBeRe

Crystalline ScBeRe at its relaxed geometry (PBE, the Alexandria database).

Summary:
symmetry	Fmm2 (42)

```
ScBeRe
1.0
3.6256 0.0000 0.0000
0.0000 4.2569 0.0000
0.0000 0.0000 11.5021
Sc Be Re
4 4 4
Direct
0.0000 0.0000 0.0000
0.0000 0.5000 0.5000
0.5000 0.0000 0.5000
0.5000 0.5000 0.0000
0.0000 0.0000 0.3263
0.0000 0.5000 0.8263
0.5000 0.0000 0.8263
0.5000 0.5000 0.3263
0.0000 0.0000 0.6940
0.0000 0.5000 0.1940
0.5000 0.0000 0.1940
0.5000 0.5000 0.6940
```

---

iii | # ScBeRe

Crystalline ScBeRe at its relaxed geometry (PBE, the Alexandria database).

Summary:
symmetry	F-43m (216)

```
ScBeRe
1.0
5.7245 0.0000 0.0000
0.0000 5.7245 0.0000
0.0000 0.0000 5.7245
Sc Be Re
4 4 4
Direct
0.0000 0.0000 0.0000
0.0000 0.5000 0.5000
0.5000 0.0000 0.5000
0.5000 0.5000 0.0000
0.2500 0.2500 0.7500
0.2500 0.7500 0.2500
0.7500 0.2500 0.2500
0.7500 0.7500 0.7500
0.0000 0.0000 0.5000
0.0000 0.5000 0.0000
0.5000 0.0000 0.0000
0.5000 0.5000 0.5000
```

---

Which of the structures shown above is the most stable? The most stable is i.